Entry 1:
Below is a crystal of SrSiP2 relaxed with PBEsol, with properties calculated at the meta-GGA SCAN level.

Cell lengths 3.6738, 4.9587, 5.2426 Å; angles 104.66, 92.22, 111.39 degrees
Last column: nearest neighbours and their distance in Å.
Fractional positions:
Sr1 0.0000 0.0000 0.0000  6 P 3.02-3.31, 2 Si 3.10-3.29
Si1 0.8571 0.5365 0.3729  3 P 2.33-2.40
P1 0.3285 0.4331 0.6214  1 P 2.24, 2 Si 2.35-2.40
P2 0.4077 0.9924 0.5116  1 P 2.24, 1 Si 2.33

Summary:
Energy relative to the elements, uncorrected: -0.49 eV/atom
Total moment: 0.00 μB/atom


Entry 2:
Below is a crystal of Li2ScZn relaxed with PBEsol, with properties calculated at the meta-GGA SCAN level.

Cell lengths 4.4278, 5.7975, 5.7975 Å; angles 29.83, 90.00, 90.00 degrees
Last column: nearest neighbours and their distance in Å.
Fractional positions:
Li1 0.0000 0.0000 0.0000  2 Zn 2.73, 6 Li 2.87-2.98, 3 Sc 2.97-3.04
Li2 0.5000 0.4064 0.4064  6 Li 2.87-2.98, 3 Zn 2.96-3.04
Sc1 0.0000 0.7288 0.7288  4 Zn 2.84, 3 Li 2.97-3.04, 2 Sc 2.98
Zn1 0.5000 0.1424 0.1424  5 Li 2.73-3.04, 4 Sc 2.84, 2 Zn 2.98

Summary:
Total moment: 0.00 μB/atom
Energy relative to the elements: -0.0357 eV per atom
Fermi-level density of states: 3.2 states/eV/cell


Entry 3:
Below is a crystal of ZnHgBi3 relaxed with PBEsol, with properties calculated at the meta-GGA SCAN level.

Cell lengths 5.6435, 5.6435, 5.6435 Å; angles 90.00, 90.00, 90.00 degrees
Last column: nearest neighbours and their distance in Å.
Fractional positions:
Zn1 0.0000 0.0000 0.0000  12 Bi 3.99
Hg1 0.5000 0.5000 0.5000  6 Bi 2.82
Bi1 0.0000 0.5000 0.5000  2 Hg 2.82
Bi2 0.5000 0.0000 0.5000  2 Hg 2.82
Bi3 0.5000 0.5000 0.0000  2 Hg 2.82

Summary:
Total moment: 0.00 μB/atom
Energy relative to the elements: 0.9269 eV per atom
Fermi-level density of states: 5.6 states/eV/cell


Entry 4:
Below is a crystal of TiSnIO2 relaxed with PBEsol, with properties calculated at the meta-GGA SCAN level.

Cell lengths 4.0266, 4.0266, 6.1482 Å; angles 90.00, 90.00, 90.00 degrees
Last column: nearest neighbours and their distance in Å.
Fractional positions:
Ti1 0.0000 0.0000 0.0000  4 I 2.85
Sn1 0.5000 0.5000 0.5000  4 O 2.01
I1 0.5000 0.5000 0.0000  4 Ti 2.85, 2 Sn 3.07
O1 0.0000 0.5000 0.5000  2 Sn 2.01
O2 0.5000 0.0000 0.5000  2 Sn 2.01

Summary:
Energy relative to the elements, uncorrected: -0.46 eV/atom
Total moment: 0.55 μB/atom
Fermi-level density of states: 2.0 states/eV/cell


Entry 5:
Below is a crystal of RbSi2AgRh relaxed with PBEsol, with properties calculated at the meta-GGA SCAN level.

Cell lengths 5.2965, 5.2965, 4.7212 Å; angles 90.00, 90.00, 90.00 degrees
Last column: nearest neighbours and their distance in Å.
Fractional positions:
Rb1 0.0000 0.0000 0.0000  2 Rh 2.36
Si1 0.0000 0.5000 0.0000  2 Rb 2.65
Si2 0.5000 0.0000 0.0000  2 Rb 2.65
Ag1 0.5000 0.5000 0.5000  8 Si 3.55, 4 Rh 3.75
Rh1 0.0000 0.0000 0.5000  2 Rb 2.36

Summary:
Energy relative to the elements, uncorrected: 2.51 eV/atom
Total moment: 0.00 μB/atom
Fermi-level density of states: 5.1 states/eV/cell


Entry 6:
Below is a crystal of K3CuC4N4 relaxed with PBEsol, with properties calculated at the meta-GGA SCAN level.

Cell lengths 7.9146, 7.9146, 7.9146 Å; angles 74.73, 74.73, 74.73 degrees
Last column: nearest neighbours and their distance in Å.
Fractional positions:
K1 0.0996 0.2797 0.6206  5 N 2.77-3.05, 1 C 2.98
K2 0.1206 0.7797 0.5996  5 N 2.77-3.05, 1 C 2.98
K3 0.2797 0.6206 0.0996  5 N 2.77-3.05, 1 C 2.98
K4 0.5996 0.1206 0.7797  5 N 2.77-3.05, 1 C 2.98
K5 0.6206 0.0996 0.2797  5 N 2.77-3.05, 1 C 2.98
K6 0.7797 0.5996 0.1206  5 N 2.77-3.05, 1 C 2.98
Cu1 0.1057 0.1057 0.1057  4 C 1.91-1.93
Cu2 0.6057 0.6057 0.6057  4 C 1.91-1.93
C1 0.1237 0.3407 0.9692  1 N 1.18
C2 0.3407 0.9692 0.1237  1 N 1.18
C3 0.4692 0.8407 0.6237  1 N 1.18
C4 0.4919 0.4919 0.4919  1 N 1.18
C5 0.6237 0.4692 0.8407  1 N 1.18
C6 0.8407 0.6237 0.4692  1 N 1.18
C7 0.9692 0.1237 0.3407  1 N 1.18
C8 0.9919 0.9919 0.9919  1 N 1.18
N1 0.1255 0.4875 0.8836  1 C 1.18
N2 0.3836 0.9875 0.6255  1 C 1.18
N3 0.4221 0.4221 0.4221  1 C 1.18
N4 0.4875 0.8836 0.1255  1 C 1.18
N5 0.6255 0.3836 0.9875  1 C 1.18
N6 0.8836 0.1255 0.4875  1 C 1.18
N7 0.9221 0.9221 0.9221  1 C 1.18
N8 0.9875 0.6255 0.3836  1 C 1.18

Summary:
Energy relative to the elements, uncorrected: -0.33 eV/atom
Total moment: 0.01 μB/atom
Fermi-level density of states: 0.0 states/eV/cell


Entry 7:
Below is a crystal of CdPb4 relaxed with PBEsol, with properties calculated at the meta-GGA SCAN level.

Cell lengths 6.0373, 6.0373, 6.0373 Å; angles 97.96, 97.96, 136.32 degrees
Last column: nearest neighbours and their distance in Å.
Fractional positions:
Cd1 0.0000 0.0000 0.0000  12 Pb 3.30-3.63
Pb1 0.2085 0.5919 0.8004  3 Cd 3.30-3.63, 9 Pb 3.40-3.61
Pb2 0.4081 0.2085 0.6167  3 Cd 3.30-3.63, 9 Pb 3.40-3.61
Pb3 0.5919 0.7915 0.3833  3 Cd 3.30-3.63, 9 Pb 3.40-3.61
Pb4 0.7915 0.4081 0.1996  3 Cd 3.30-3.63, 9 Pb 3.40-3.61

Summary:
Total moment: 0.00 μB/atom
Energy relative to the elements: 0.0373 eV per atom
Fermi-level density of states: 2.2 states/eV/cell


Entry 8:
Below is a crystal of Na2HfMo relaxed with PBEsol, with properties calculated at the meta-GGA SCAN level.

Cell lengths 6.4007, 6.4007, 6.4007 Å; angles 98.94, 98.94, 133.56 degrees
Last column: nearest neighbours and their distance in Å.
Fractional positions:
Na1 0.1082 0.6250 0.9832  2 Na 2.54
Na2 0.3750 0.3582 0.4832  2 Na 2.54
Na3 0.6418 0.1250 0.0168  2 Na 2.54
Na4 0.8750 0.8918 0.5168  2 Na 2.54
Hf1 0.2500 0.7500 0.5000  2 Mo 2.52
Hf2 0.5000 0.5000 0.0000  2 Mo 2.52
Mo1 0.0000 0.0000 0.0000  2 Hf 2.52
Mo2 0.7500 0.2500 0.5000  2 Hf 2.52

Summary:
Total moment: 0.27 μB/atom
Energy relative to the elements: 1.2901 eV per atom
Fermi-level density of states: 4.9 states/eV/cell


Entry 9:
Below is a crystal of LiS2NCl relaxed with PBEsol, with properties calculated at the meta-GGA SCAN level.

Cell lengths 4.6861, 4.6861, 3.9763 Å; angles 90.00, 90.00, 90.00 degrees
Last column: nearest neighbours and their distance in Å.
Fractional positions:
Li1 0.0000 0.0000 0.0000  8 S 3.07, 4 N 3.31
S1 0.0000 0.5000 0.5000  2 Cl 2.34
S2 0.5000 0.0000 0.5000  2 Cl 2.34
N1 0.5000 0.5000 0.0000  2 Cl 1.99
Cl1 0.5000 0.5000 0.5000  2 N 1.99

Summary:
Energy relative to the elements, uncorrected: 1.20 eV/atom
Total moment: 0.44 μB/atom
Fermi-level density of states: 2.0 states/eV/cell


Entry 10:
Below is a crystal of NdAl4Co relaxed with PBEsol, with properties calculated at the meta-GGA SCAN level.

Cell lengths 7.6170, 3.9920, 6.8098 Å; angles 90.00, 90.00, 90.00 degrees
Last column: nearest neighbours and their distance in Å.
Fractional positions:
Nd1 0.2500 0.0000 0.1158  1 Co 2.93, 12 Al 3.07-3.24
Nd2 0.7500 0.0000 0.8842  1 Co 2.93, 12 Al 3.07-3.24
Al1 0.0000 0.0000 0.5000  2 Co 2.29
Al2 0.0700 0.5000 0.8011  2 Co 2.55, 2 Al 2.71-2.74
Al3 0.2500 0.5000 0.4579  2 Co 2.53, 6 Al 2.71-2.77
Al4 0.4300 0.5000 0.8011  2 Co 2.55, 2 Al 2.71-2.74
Al5 0.5000 0.0000 0.5000  2 Co 2.29
Al6 0.5700 0.5000 0.1989  2 Co 2.55, 2 Al 2.71-2.74
Al7 0.7500 0.5000 0.5421  2 Co 2.53, 6 Al 2.71-2.77
Al8 0.9300 0.5000 0.1989  2 Co 2.55, 2 Al 2.71-2.74
Co1 0.2500 0.0000 0.6855  8 Al 2.29-2.55
Co2 0.7500 0.0000 0.3145  8 Al 2.29-2.55

Summary:
Total moment: 0.01 μB/atom
Energy relative to the elements: -0.5283 eV per atom
Fermi-level density of states: 2.6 states/eV/cell


Entry 11:
Below is a crystal of Li2AlAgF relaxed with PBEsol, with properties calculated at the meta-GGA SCAN level.

Cell lengths 4.7813, 4.7813, 4.8467 Å; angles 90.00, 90.00, 90.00 degrees
Last column: nearest neighbours and their distance in Å.
Fractional positions:
Li1 0.0000 0.5000 0.0000  2 Ag 2.39
Li2 0.5000 0.0000 0.0000  2 Ag 2.39
Al1 0.0000 0.0000 0.5000  2 Ag 2.42
Ag1 0.0000 0.0000 0.0000  4 Li 2.39, 2 Al 2.42
F1 0.5000 0.5000 0.5000  4 Al 3.38, 8 Li 3.40

Summary:
Energy relative to the elements, uncorrected: -0.23 eV/atom
Total moment: 0.00 μB/atom
Fermi-level density of states: 1.9 states/eV/cell


Entry 12:
Below is a crystal of YCu relaxed with PBEsol, with properties calculated at the meta-GGA SCAN level.

Cell lengths 3.4227, 3.4227, 3.4227 Å; angles 90.00, 90.00, 90.00 degrees
Last column: nearest neighbours and their distance in Å.
Fractional positions:
Y1 0.0000 0.0000 0.0000  8 Cu 2.96
Cu1 0.5000 0.5000 0.5000  8 Y 2.96

Summary:
Total moment: 0.00 μB/atom
Energy relative to the elements: -0.3028 eV per atom
Fermi-level density of states: 0.9 states/eV/cell


total moment of number 4 (TiSnIO2)?
0.55 μB/atom


Which formula does entry 2 have?
Li2ScZn